DFT (GGA+U) results for crystalline PaNi2F8 at its relaxed geometry.

Properties
**Uncorrected energy**: -60.7 eV/f.u.
**SG**: No. 12

Unit cell a=5.428 b=5.428 c=5.405 alpha=106.60 beta=106.60 gamma=88.83
Fractional coordinates of all 11 atoms:
Pa 0.000 0.000 0.000
Ni 0.432 0.432 0.743
Ni 0.568 0.568 0.257
F 0.170 0.700 0.746
F 0.187 0.187 0.783
F 0.300 0.830 0.254
F 0.317 0.317 0.298
F 0.683 0.683 0.702
F 0.700 0.170 0.746
F 0.813 0.813 0.217
F 0.830 0.300 0.254